Entry 1:
First-principles (meta-GGA SCAN) data for CdH12C2N2Cl4 at its PBEsol-relaxed geometry, as listed in the Alexandria database.

Values from the calculation:
uncorrected energy: -7.368 eV per atom

a b c (Å): 7.5192 19.1739 7.3314
angles (deg): 90.00 90.00 90.00
Space group Cmce (No. 64)
Asymmetric unit:
Cd 0.0000 0.0000 0.0000
H 0.0000 0.1128 0.3416
H 0.0000 0.1811 0.7100
H 0.1105 0.0847 0.5329
H 0.1194 0.2111 0.5119
C 0.0000 0.1838 0.5600
N 0.0000 0.1122 0.4859
Cl 0.0000 0.1298 0.0622
Cl 0.2500 0.0213 0.7500



Entry 2:
First-principles (meta-GGA SCAN) data for GeBCl2 at its PBEsol-relaxed geometry, as listed in the Alexandria database.

Values from the calculation:
formation energy without anion corrections: 394 meV per atom

a b c (Å): 3.0770 3.0770 28.8069
angles (deg): 90.00 90.00 120.00
Space group R-3m (No. 166, hexagonal axes)
Asymmetric unit:
Ge 0.0000 0.0000 0.0000
B 0.0000 0.0000 0.5000
Cl 0.0000 0.0000 0.4421



Entry 3:
First-principles (meta-GGA SCAN) data for Cs2RbHgBr at its PBEsol-relaxed geometry, as listed in the Alexandria database.

Values from the calculation:
formation energy without anion corrections: -481 meV per atom

a b c (Å): 7.0481 7.0481 6.5943
angles (deg): 90.00 90.00 90.00
Space group P4/mmm (No. 123)
Asymmetric unit:
Cs 0.0000 0.5000 0.0000
Rb 0.0000 0.0000 0.5000
Hg 0.5000 0.5000 0.0000
Br 0.5000 0.5000 0.5000



Entry 4:
First-principles (meta-GGA SCAN) data for BaSrMo2 at its PBEsol-relaxed geometry, as listed in the Alexandria database.

Values from the calculation:
energy of formation: 1095 meV per atom

a b c (Å): 3.5773 4.9374 6.8549
angles (deg): 90.00 90.00 90.00
Space group Pmmm (No. 47)
Asymmetric unit:
Ba 0.0000 0.0000 0.0000
Sr 0.0000 0.0000 0.5000
Mo 0.5000 0.5000 0.3490



Question: Which formula does entry 4 have?
Answer: BaSrMo2